VASP calculation (PBE) on a geometry-optimized Ba2Hg3PdPb4 structure.

Properties
ΔH_f (0 K) ... -3.5 eV/f.u.
DOS(E_F) ... 3.97 states/eV/cell

a b c (Å): 5.084 5.084 12.186
angles (deg): 90.00 90.00 90.00
Space group P-4m2 (No. 115)
Unique sites:
Ba1 0.000 0.500 0.232 (multiplicity 2)
Hg1 0.000 0.000 0.000 (multiplicity 1)
Hg2 0.000 0.500 0.646 (multiplicity 2)
Pd1 0.500 0.500 0.000 (multiplicity 1)
Pb1 0.000 0.000 0.500 (multiplicity 1)
Pb2 0.000 0.500 0.886 (multiplicity 2)
Pb3 0.500 0.500 0.500 (multiplicity 1)



VASP calculation (PBE) on a geometry-optimized BaHgPd2Pb2 structure.

Properties
ΔH_f (0 K) ... -1.5 eV/f.u.
DOS(E_F) ... 3.38 states/eV/cell

a b c (Å): 5.170 5.170 6.509
angles (deg): 90.00 90.00 90.00
Space group P4/mmm (No. 123)
Unique sites:
Ba1 0.000 0.000 0.000 (multiplicity 1)
Hg1 0.000 0.000 0.500 (multiplicity 1)
Pd1 0.000 0.500 0.500 (multiplicity 2)
Pb1 0.500 0.500 0.255 (multiplicity 2)



VASP calculation (PBE) on a geometry-optimized BaHg2PdPb structure.

Properties
ΔH_f (0 K) ... -1.5 eV/f.u.
DOS(E_F) ... 3.56 states/eV/cell

a b c (Å): 5.349 5.349 5.378
angles (deg): 90.00 90.00 90.00
Space group P4/mmm (No. 123)
Unique sites:
Ba1 0.000 0.000 0.000 (multiplicity 1)
Hg1 0.000 0.500 0.500 (multiplicity 2)
Pd1 0.500 0.500 0.500 (multiplicity 1)
Pb1 0.500 0.500 0.000 (multiplicity 1)



VASP calculation (PBE) on a geometry-optimized BaPm2Hg2Pb2 structure.

Properties
ΔH_f (0 K) ... -2.4 eV/f.u.
DOS(E_F) ... 23.39 states/eV/cell

a b c (Å): 5.2427 5.2427 29.2203
angles (deg): 90.00 90.00 120.00
Space group R-3m (No. 166, hexagonal axes)
Unique sites:
Ba1 0.0000 0.0000 0.0000 (multiplicity 3)
Pm1 0.0000 0.0000 0.1349 (multiplicity 6)
Hg1 0.0000 0.0000 0.4410 (multiplicity 6)
Pb1 0.0000 0.0000 0.2583 (multiplicity 6)



VASP calculation (PBE) on a geometry-optimized BaHgPtPb structure.

Properties
ΔH_f (0 K) ... -1.3 eV/f.u.
DOS(E_F) ... 7.45 states/eV/cell

a b c (Å): 7.642 7.642 7.642
angles (deg): 90.00 90.00 90.00
Space group F-43m (No. 216)
Unique sites:
Ba1 0.000 0.000 0.000 (multiplicity 4)
Hg1 0.250 0.250 0.750 (multiplicity 4)
Pt1 0.250 0.250 0.250 (multiplicity 4)
Pb1 0.000 0.000 0.500 (multiplicity 4)



VASP calculation (PBE) on a geometry-optimized BaHg2PtPb structure.

Properties
ΔH_f (0 K) ... -2.1 eV/f.u.
DOS(E_F) ... 5.52 states/eV/cell

a b c (Å): 4.551 4.935 12.768
angles (deg): 90.00 90.00 90.00
Space group Imm2 (No. 44)
Unique sites:
Ba1 0.000 0.000 0.000 (multiplicity 2)
Hg1 0.000 0.000 0.611 (multiplicity 2)
Hg2 0.000 0.500 0.278 (multiplicity 2)
Pt1 0.000 0.000 0.396 (multiplicity 2)
Pb1 0.000 0.500 0.765 (multiplicity 2)



Number 1: mass density 9.6 Mg/m³. Number 2: mass density 9.2 Mg/m³. Number 3: mass density 9.2 Mg/m³. Number 4: mass density 8.9 Mg/m³. Number 5: mass density 11.0 Mg/m³. Number 6: mass density 10.9 Mg/m³.